[1]
First-principles (PBE) data for Li2CuPt2 after structural relaxation, as listed in Alexandria.

Computed properties:
* energy of formation: -0.38 eV per atom
* E above lowest polymorph: 0 meV/atom

Cell and atoms, written as CIF:
```
data_Li2CuPt2
_chemical_formula_sum 'Li6 Cu3 Pt6'
_space_group_name_H-M_alt 'R -3 m'
_space_group_IT_number 166
_space_group_name_Hall '-R 3 2"'
_cell_length_a 4.2721
_cell_length_b 4.2721
_cell_length_c 12.9352
_cell_angle_alpha 90.00
_cell_angle_beta 90.00
_cell_angle_gamma 120.00
loop_
_atom_site_label
_atom_site_type_symbol
_atom_site_fract_x
_atom_site_fract_y
_atom_site_fract_z
Li1 Li 0.0000 0.0000 0.1929
Cu1 Cu 0.0000 0.0000 0.0000
Pt1 Pt 0.0000 0.0000 0.3946
```



[2]
First-principles (PBE) data for TmZnTe2 after structural relaxation, as listed in Alexandria.

Computed properties:
* formation energy from raw total energies: -0.642 eV per atom

Cell and atoms, written as CIF:
```
data_TmZnTe2
_chemical_formula_sum 'Tm3 Zn3 Te6'
_space_group_name_H-M_alt 'R -3 m'
_space_group_IT_number 166
_space_group_name_Hall '-R 3 2"'
_cell_length_a 4.3666
_cell_length_b 4.3666
_cell_length_c 26.2954
_cell_angle_alpha 90.00
_cell_angle_beta 90.00
_cell_angle_gamma 120.00
loop_
_atom_site_label
_atom_site_type_symbol
_atom_site_fract_x
_atom_site_fract_y
_atom_site_fract_z
Tm1 Tm 0.0000 0.0000 0.0000
Zn1 Zn 0.0000 0.0000 0.5000
Te1 Te 0.0000 0.0000 0.3981
```



[3]
First-principles (PBE) data for NaNb3Si after structural relaxation, as listed in Alexandria.

Computed properties:
* formation energy from raw total energies: 2.000 eV per atom
* E above lowest polymorph: 1150 meV/atom

Cell and atoms, written as CIF:
```
data_NaNb3Si
_chemical_formula_sum 'Na1 Nb3 Si1'
_space_group_name_H-M_alt 'P m -3 m'
_space_group_IT_number 221
_space_group_name_Hall '-P 4 2 3'
_cell_length_a 4.614
_cell_length_b 4.614
_cell_length_c 4.614
_cell_angle_alpha 90.00
_cell_angle_beta 90.00
_cell_angle_gamma 90.00
loop_
_atom_site_label
_atom_site_type_symbol
_atom_site_fract_x
_atom_site_fract_y
_atom_site_fract_z
Na1 Na 0.000 0.000 0.000
Nb1 Nb 0.000 0.000 0.500
Si1 Si 0.500 0.500 0.500
```



[4]
First-principles (PBE) data for Sm12SiNi6 after structural relaxation, as listed in Alexandria.

Computed properties:
* formation energy from raw total energies: -0.287 eV per atom

Cell and atoms, written as CIF:
```
data_Sm12SiNi6
_chemical_formula_sum 'Sm24 Si2 Ni12'
_space_group_name_H-M_alt 'I m -3'
_space_group_IT_number 204
_space_group_name_Hall '-I 2 2 3'
_cell_length_a 9.849
_cell_length_b 9.849
_cell_length_c 9.849
_cell_angle_alpha 90.00
_cell_angle_beta 90.00
_cell_angle_gamma 90.00
loop_
_atom_site_label
_atom_site_type_symbol
_atom_site_fract_x
_atom_site_fract_y
_atom_site_fract_z
Sm1 Sm 0.000 0.302 0.185
Si1 Si 0.000 0.000 0.000
Ni1 Ni 0.000 0.124 0.500
```